Below is a relaxed Ni2HgRh crystal, with properties calculated at the PBE level.

Output
Density of states at the Fermi level in states/eV/cell: 5.9
Formation energy from the elements in kJ per mole of atoms: 22.0
Size of the total moment in μB per atom: 0.38
Energy in eV per cell: -18.30

a b c (Å): 3.9189 3.9189 3.7108
angles (deg): 90.00 90.00 90.00
Space group P4/mmm (No. 123)
Asymmetric unit:
Ni1 0.0000 0.5000 0.0000
Hg1 0.0000 0.0000 0.5000
Rh1 0.5000 0.5000 0.5000